(1)
Here is a relaxed structure of As7Cl6 from Alexandria via LeMat-Bulk. Energies are from PBE-GGA.

Results
Density of states at the Fermi level: 9.9 states/eV per cell

Unit cell a=10.389 b=10.389 c=10.389 alpha=35.34 beta=35.34 gamma=35.34
Sites, in units of the cell vectors:
As (0.000, 0.000, 0.000)
As (0.054, 0.054, 0.651)
As (0.054, 0.651, 0.054)
As (0.349, 0.946, 0.946)
As (0.651, 0.054, 0.054)
As (0.946, 0.349, 0.946)
As (0.946, 0.946, 0.349)
Cl (0.158, 0.158, 0.158)
Cl (0.314, 0.314, 0.314)
Cl (0.430, 0.430, 0.430)
Cl (0.570, 0.570, 0.570)
Cl (0.686, 0.686, 0.686)
Cl (0.842, 0.842, 0.842)

(2)
Here is a relaxed structure of AsCl3 from Alexandria via LeMat-Bulk. Energies are from PBE-GGA.

Results
Density of states at the Fermi level: 0.0 states/eV per cell

Unit cell a=8.701 b=10.304 c=6.747 alpha=90.00 beta=90.00 gamma=90.00
Sites, in units of the cell vectors:
As (0.031, 0.250, 0.037)
As (0.469, 0.750, 0.537)
As (0.531, 0.250, 0.463)
As (0.969, 0.750, 0.963)
Cl (0.127, 0.250, 0.735)
Cl (0.164, 0.088, 0.166)
Cl (0.164, 0.412, 0.166)
Cl (0.336, 0.588, 0.666)
Cl (0.336, 0.912, 0.666)
Cl (0.373, 0.750, 0.235)
Cl (0.627, 0.250, 0.765)
Cl (0.664, 0.088, 0.334)
Cl (0.664, 0.412, 0.334)
Cl (0.836, 0.588, 0.834)
Cl (0.836, 0.912, 0.834)
Cl (0.873, 0.750, 0.265)

(3)
Here is a relaxed structure of AsCl2 from Alexandria via LeMat-Bulk. Energies are from PBE-GGA.

Results
Density of states at the Fermi level: 1.8 states/eV per cell

Unit cell a=4.591 b=4.591 c=3.218 alpha=90.00 beta=90.00 gamma=90.00
Sites, in units of the cell vectors:
As (0.000, 0.000, 0.000)
Cl (0.000, 0.500, 0.500)
Cl (0.500, 0.000, 0.500)

(4)
Here is a relaxed structure of AsCl2 from Alexandria via LeMat-Bulk. Energies are from PBE-GGA.

Results
Density of states at the Fermi level: 1.1 states/eV per cell

Unit cell a=14.209 b=14.209 c=3.609 alpha=90.00 beta=90.00 gamma=167.39
Sites, in units of the cell vectors:
As (0.126, 0.874, 0.750)
As (0.874, 0.126, 0.250)
Cl (0.186, 0.814, 0.250)
Cl (0.431, 0.569, 0.750)
Cl (0.569, 0.431, 0.250)
Cl (0.814, 0.186, 0.750)

| no. | total moment (μB/cell) | E_form (uncorrected) (eV/atom) |
| --- | --- | --- |
| 1 | 0.0 | 0.09 |
| 2 | 0.0 | -0.72 |
| 3 | 0.0 | 0.01 |
| 4 | 0.0 | -0.20 |